Material: SrGa2Cl6
Method: DFT, PBE
State: relaxed

Lattice parameters (Å, degrees): 13.2418 12.4007 8.6793 90.00 114.71 90.00
With the nearest neighbours (Å) after each atom.
Space group C2/c (No. 15)
Unique sites:
Sr 0.0000 0.0808 0.2500  6 Cl 2.88-3.00
Ga 0.1790 0.4178 0.2378  4 Cl 2.36-2.48
Cl 0.1148 0.0839 0.6296  1 Ga 2.48
Cl 0.1468 0.4975 0.4692  2 Ga 2.43
Cl 0.1552 0.2288 0.2122  1 Ga 2.36

The raw formation energy comes out at -12.230 eV/f.u. For the energy above the most stable polymorph in this dataset, the calculation gives 49.6 meV/atom. The calculation puts the total moment at 0.0 μB/f.u. The uncorrected energy comes out at -3.4495 eV per atom.